Record 1
# VBiPO2

An optimized crystal structure of VBiPO2 (PBE with a Hubbard U, Alexandria via LeMat-Bulk).

Cell and atoms, written as POSCAR:
```
VBiPO2
1.0
4.154 0.000 0.000
0.000 4.154 0.000
0.000 0.000 5.477
O V P Bi
2 1 1 1
Direct
0.500 0.000 0.000
0.000 0.500 0.000
0.500 0.500 0.500
0.000 0.000 0.500
0.000 0.000 0.000
```

- ρ (g/cm3) = 5.67
- E_tot (eV for the cell shown) = -26.18
- space-group type = P4/mmm (123)


Record 2
# V3Bi2P6O24

An optimized crystal structure of V3Bi2P6O24 (PBE with a Hubbard U, Alexandria via LeMat-Bulk).

Cell and atoms, written as POSCAR:
```
V3Bi2P6O24
1.0
-4.553 3.929 6.671
-6.351 -4.238 4.730
1.044 -2.280 8.625
Bi O P V
2 24 6 3
Direct
0.495 0.495 0.495
0.014 0.014 0.014
0.430 0.835 0.302
0.790 0.624 0.019
0.476 0.094 0.308
0.019 0.790 0.624
0.310 0.988 0.909
0.590 0.411 0.239
0.094 0.308 0.476
0.308 0.476 0.094
0.944 0.068 0.720
0.624 0.019 0.790
0.720 0.944 0.068
0.411 0.239 0.590
0.619 0.583 0.907
0.302 0.430 0.835
0.907 0.619 0.583
0.403 0.682 0.743
0.682 0.743 0.403
0.743 0.403 0.682
0.239 0.590 0.411
0.909 0.310 0.988
0.068 0.720 0.944
0.583 0.907 0.619
0.988 0.909 0.310
0.835 0.302 0.430
0.563 0.913 0.270
0.734 0.479 0.038
0.913 0.270 0.563
0.479 0.038 0.734
0.038 0.734 0.479
0.270 0.563 0.913
0.656 0.656 0.656
0.343 0.343 0.343
0.855 0.855 0.855
```

- ρ (g/cm3) = 3.96
- E_tot (eV for the cell shown) = -251.12
- space-group type = R3 (146)


Record 3
# VBiPO2

An optimized crystal structure of VBiPO2 (PBE with a Hubbard U, Alexandria via LeMat-Bulk).

Cell and atoms, written as POSCAR:
```
VBiPO2
1.0
-2.803 1.303 -2.374
-2.708 -1.305 2.481
0.045 4.451 2.390
Bi O P V
1 2 1 1
Direct
0.500 0.500 0.500
0.000 0.500 0.000
0.500 0.000 0.000
0.000 0.000 0.500
0.000 0.000 0.000
```

- ρ (g/cm3) = 6.99
- E_tot (eV for the cell shown) = -30.30
- space-group type = P4/mmm (123)